{"formula": "TlAsRuSe2", "functional": "SCAN", "state": "PBEsol geometry", "lattice": [[5.0440, 0.0000, 0.0000], [0.0000, 5.0440, 0.0000], [0.0000, 0.0000, 4.5671]], "species": ["Tl", "As", "Ru", "Se", "Se"], "frac_coords": [[0.0000, 0.0000, 0.0000], [0.5000, 0.5000, 0.0000], [0.5000, 0.5000, 0.5000], [0.0000, 0.5000, 0.5000], [0.5000, 0.0000, 0.5000]], "raw_formation_energy_ev_per_atom": 0.235, "sg": "No. 123"}


{"formula": "ZrAsRuSe2", "functional": "SCAN", "state": "PBEsol geometry", "lattice": [[5.0418, 0.0000, 0.0000], [0.0000, 5.0418, 0.0000], [0.0000, 0.0000, 5.1158]], "species": ["Zr", "As", "Ru", "Se", "Se"], "frac_coords": [[0.0000, 0.0000, 0.0000], [0.0000, 0.0000, 0.5000], [0.5000, 0.5000, 0.5000], [0.0000, 0.5000, 0.0000], [0.5000, 0.0000, 0.0000]], "raw_formation_energy_ev_per_atom": 0.503, "sg": "No. 123"}


{"formula": "SiAsRu2", "functional": "SCAN", "state": "PBEsol geometry", "lattice": [[1.4873, -2.3539, 0.0000], [1.4873, 2.3539, 0.0000], [0.0000, 0.0000, 8.2844]], "species": ["Si", "As", "Ru", "Ru"], "frac_coords": [[0.0000, 0.0000, 0.0000], [0.5000, 0.5000, 0.2809], [0.0000, 0.0000, 0.5138], [0.5000, 0.5000, 0.7851]], "raw_formation_energy_ev_per_atom": 0.343, "sg": "No. 35"}


| no. | total magnetization (μB/f.u.) | density of states at the Fermi level (states/eV per atom) |
| --- | --- | --- |
| 1 | 0.0 | 1.136 |
| 2 | 2.9 | 0.594 |
| 3 | 0.0 | 0.708 |